DFT (PBE-GGA) results for Er3Tm3Pb4 after structural relaxation.

a b c (Å): 4.3212 11.5194 11.5214
angles (deg): 90.00 90.00 90.00
Space group Amm2 (No. 38)
One atom of each set of equivalent atoms:
Er  0.0000  0.0000  0.0000 (multiplicity 2)
Er  0.0000  0.1646  0.6642 (multiplicity 4)
Tm  0.0000  0.0000  0.3291 (multiplicity 2)
Tm  0.5000  0.2500  0.4145 (multiplicity 4)
Pb  0.5000  0.0000  0.5239 (multiplicity 2)
Pb  0.5000  0.0000  0.8043 (multiplicity 2)
Pb  0.5000  0.1398  0.1648 (multiplicity 4)

Computed properties:
The density of states at the Fermi level is 18.12 states/eV per cell. As for the formation enthalpy at 0 K: -0.415 eV/atom. For the magnetic moment, the calculation gives 0.00 μB/f.u.